Entry from Alexandria: crystalline CsNa2OsBr8 at its relaxed geometry (PBE-GGA).

Geometry as CIF:
```
data_CsNa2OsBr8
_chemical_formula_sum 'Cs1 Na2 Os1 Br8'
_symmetry_space_group_name_H-M 'P -1'
_symmetry_Int_Tables_number 2
_symmetry_space_group_name_Hall '-P 1'
_cell_length_a 6.385
_cell_length_b 6.732
_cell_length_c 9.840
_cell_angle_alpha 90.07
_cell_angle_beta 90.35
_cell_angle_gamma 95.54
loop_
_atom_site_label
_atom_site_type_symbol
_atom_site_fract_x
_atom_site_fract_y
_atom_site_fract_z
Cs1 Cs 0.000 0.000 0.000
Na1 Na 0.496 0.500 0.739
Os1 Os 0.000 0.000 0.500
Br1 Br 0.222 0.864 0.322
Br2 Br 0.226 0.869 0.680
Br3 Br 0.232 0.325 0.499
Br4 Br 0.252 0.505 0.000
```

M_tot in μB per formula unit: 2.611
ΔE_f (raw) in meV per atom: -805
Electronic total energy in eV/atom: -3.147